Crystalline LaGeRh2 at its relaxed geometry. Source: Alexandria via LeMat-Bulk, functional PBE-GGA.

Cell lengths 4.6183, 4.6183, 3.9342 Å; angles 90.00, 90.00, 99.07 degrees
Closest atoms and distances in Å follow each position.
Fractional coordinates of all 4 atoms:
La  0.0000  0.0000  0.0000  4 Rh 2.87, 2 Ge 3.00
Ge  0.5000  0.5000  0.0000  4 Rh 2.43
Rh  0.2970  0.7030  0.5000  2 Ge 2.43
Rh  0.7030  0.2970  0.5000  2 Ge 2.43

Properties
Its crystal system is orthorhombic. The total energy is -25.76 eV/cell. Its total magnetic moment is 0.00 μB per cell.

Crystalline La6GeRh3 at its relaxed geometry. Source: Alexandria via LeMat-Bulk, functional PBE-GGA.

Cell lengths 11.9142, 4.2732, 12.2306 Å; angles 90.00, 108.75, 90.00 degrees
Closest atoms and distances in Å follow each position.
Fractional coordinates of all 20 atoms:
La  0.0353  0.2500  0.3921  3 Rh 2.82-2.88
La  0.1056  0.2500  0.9398  4 Rh 2.88-2.99
La  0.2295  0.7500  0.2628  3 Rh 2.95-3.05, 2 Ge 3.31
La  0.2983  0.7500  0.7584  3 Rh 2.81-3.06
La  0.3775  0.2500  0.5380  2 Rh 3.04, 3 Ge 3.14-3.23
La  0.4211  0.7500  0.0954  3 Rh 2.84-2.99
La  0.5789  0.2500  0.9046  3 Rh 2.84-2.99
La  0.6225  0.7500  0.4620  2 Rh 3.04, 3 Ge 3.14-3.23
La  0.7017  0.2500  0.2416  3 Rh 2.81-3.06
La  0.7705  0.2500  0.7372  3 Rh 2.95-3.05, 2 Ge 3.31
La  0.8944  0.7500  0.0602  4 Rh 2.88-2.99
La  0.9647  0.7500  0.6079  3 Rh 2.82-2.88
Ge  0.4512  0.2500  0.3056  8 La 3.14-3.32
Ge  0.5488  0.7500  0.6944  8 La 3.14-3.32
Rh  0.0554  0.2500  0.1639  6 La 2.88-2.99
Rh  0.1864  0.7500  0.4955  6 La 2.82-3.06
Rh  0.3445  0.2500  0.9161  6 La 2.81-2.99
Rh  0.6555  0.7500  0.0839  6 La 2.81-2.99
Rh  0.8136  0.2500  0.5045  6 La 2.82-3.06
Rh  0.9446  0.7500  0.8361  6 La 2.88-2.99

Properties
Its crystal system is monoclinic. The total energy is -125.81 eV/cell. Its total magnetic moment is 0.00 μB per cell.

Crystalline La2Ge3Rh2 at its relaxed geometry. Source: Alexandria via LeMat-Bulk, functional PBE-GGA.

Cell lengths 9.6158, 9.6158, 7.1591 Å; angles 90.00, 90.00, 153.96 degrees
Closest atoms and distances in Å follow each position.
Fractional coordinates of all 14 atoms:
La  0.0563  0.9437  0.7500  9 Ge 3.08-3.37
La  0.1613  0.8387  0.2500  6 Rh 3.06-3.10, 6 Ge 3.10-3.13
La  0.8387  0.1613  0.7500  6 Rh 3.06-3.10, 6 Ge 3.10-3.13
La  0.9437  0.0563  0.2500  9 Ge 3.08-3.37
Ge  0.2207  0.7793  0.7500  6 Rh 2.65-2.66
Ge  0.4372  0.5628  0.5679  2 Ge 2.55-2.61, 1 Rh 2.60
Ge  0.4372  0.5628  0.9321  2 Ge 2.55-2.61, 1 Rh 2.60
Ge  0.5628  0.4372  0.0679  2 Ge 2.55-2.61, 1 Rh 2.60
Ge  0.5628  0.4372  0.4321  2 Ge 2.55-2.61, 1 Rh 2.60
Ge  0.7793  0.2207  0.2500  6 Rh 2.65-2.66
Rh  0.3054  0.6946  0.0482  4 Ge 2.60-2.66, 1 Rh 2.89
Rh  0.3054  0.6946  0.4518  4 Ge 2.60-2.66, 1 Rh 2.89
Rh  0.6946  0.3054  0.5482  4 Ge 2.60-2.66, 1 Rh 2.89
Rh  0.6946  0.3054  0.9518  4 Ge 2.60-2.66, 1 Rh 2.89

Properties
Its crystal system is orthorhombic. Its total magnetic moment is 0.00 μB per cell. For the energy above the most stable polymorph in this dataset, the calculation gives 0.000 eV per formula unit.

Crystalline La3Ge2Rh at its relaxed geometry. Source: Alexandria via LeMat-Bulk, functional PBE-GGA.

Cell lengths 12.3271, 4.4366, 11.7371 Å; angles 90.00, 90.00, 90.00 degrees
Closest atoms and distances in Å follow each position.
Fractional coordinates of all 24 atoms:
La  0.0537  0.2500  0.1270  1 Rh 2.95, 4 Ge 3.13-3.20
La  0.1191  0.7500  0.5522  5 Ge 3.12-3.25, 3 Rh 3.12-3.20
La  0.2259  0.2500  0.8005  2 Rh 2.95, 4 Ge 3.20-3.24
La  0.2741  0.7500  0.3005  2 Rh 2.95, 4 Ge 3.20-3.24
La  0.3809  0.2500  0.0522  5 Ge 3.12-3.25, 3 Rh 3.12-3.20
La  0.4463  0.7500  0.6270  1 Rh 2.95, 4 Ge 3.13-3.20
La  0.5537  0.2500  0.3730  1 Rh 2.95, 4 Ge 3.13-3.20
La  0.6191  0.7500  0.9478  5 Ge 3.12-3.25, 3 Rh 3.12-3.20
La  0.7259  0.2500  0.6995  2 Rh 2.95, 4 Ge 3.20-3.24
La  0.7741  0.7500  0.1995  2 Rh 2.95, 4 Ge 3.20-3.24
La  0.8809  0.2500  0.4478  5 Ge 3.12-3.25, 3 Rh 3.12-3.20
La  0.9463  0.7500  0.8730  1 Rh 2.95, 4 Ge 3.13-3.20
Ge  0.0146  0.7500  0.3104  2 Rh 2.70
Ge  0.1950  0.7500  0.9988  1 Rh 2.68
Ge  0.3050  0.2500  0.4988  1 Rh 2.68
Ge  0.4854  0.2500  0.8104  2 Rh 2.70
Ge  0.5146  0.7500  0.1896  2 Rh 2.70
Ge  0.6950  0.7500  0.5012  1 Rh 2.68
Ge  0.8050  0.2500  0.0012  1 Rh 2.68
Ge  0.9854  0.2500  0.6896  2 Rh 2.70
Rh  0.1286  0.2500  0.3654  3 Ge 2.68-2.70, 3 La 2.95
Rh  0.3714  0.7500  0.8654  3 Ge 2.68-2.70, 3 La 2.95
Rh  0.6286  0.2500  0.1346  3 Ge 2.68-2.70, 3 La 2.95
Rh  0.8714  0.7500  0.6346  3 Ge 2.68-2.70, 3 La 2.95

Properties
Its crystal system is orthorhombic. The total energy is -146.46 eV/cell. Its total magnetic moment is 0.00 μB per cell.

Crystalline La3Ge8Rh3 at its relaxed geometry. Source: Alexandria via LeMat-Bulk, functional PBE-GGA.

Cell lengths 8.5903, 8.5903, 8.7530 Å; angles 115.31, 115.31, 29.61 degrees
Closest atoms and distances in Å follow each position.
Fractional coordinates of all 14 atoms:
La  0.0000  0.0000  0.0000  8 Ge 3.21-3.42, 4 Rh 3.33
La  0.2829  0.2829  0.3184  10 Ge 3.10-3.33, 1 Rh 3.41
La  0.7171  0.7171  0.6816  10 Ge 3.10-3.33, 1 Rh 3.41
Ge  0.1215  0.1215  0.4117  1 Rh 2.46, 2 Ge 2.61
Ge  0.1773  0.1773  0.9003  3 Rh 2.47-2.60
Ge  0.3702  0.3702  0.7414  1 Rh 2.45, 3 Ge 2.61-2.73
Ge  0.4778  0.4778  0.3045  3 Rh 2.56-2.71, 1 Ge 2.73
Ge  0.5222  0.5222  0.6955  3 Rh 2.56-2.71, 1 Ge 2.73
Ge  0.6298  0.6298  0.2586  1 Rh 2.45, 3 Ge 2.61-2.73
Ge  0.8227  0.8227  0.0997  3 Rh 2.47-2.60
Ge  0.8785  0.8785  0.5883  1 Rh 2.46, 2 Ge 2.61
Rh  0.0000  0.0000  0.5000  6 Ge 2.46-2.71
Rh  0.3498  0.3498  0.0024  5 Ge 2.45-2.60
Rh  0.6502  0.6502  0.9976  5 Ge 2.45-2.60

Properties
Its crystal system is monoclinic. Its total magnetic moment is 0.00 μB per cell. For the energy above the most stable polymorph in this dataset, the calculation gives 0.000 eV per formula unit.

Crystalline LaGe2Rh2 at its relaxed geometry. Source: Alexandria via LeMat-Bulk, functional PBE-GGA.

Cell lengths 7.6885, 7.6885, 3.0797 Å; angles 90.00, 90.00, 90.00 degrees
Closest atoms and distances in Å follow each position.
Fractional coordinates of all 10 atoms:
La  0.0000  0.0000  0.0000  4 Rh 3.01, 2 La 3.08, 8 Ge 3.30
La  0.5000  0.5000  0.0000  4 Rh 3.01, 2 La 3.08, 8 Ge 3.30
Ge  0.1510  0.3490  0.5000  6 Rh 2.67-2.82
Ge  0.3490  0.8490  0.5000  6 Rh 2.67-2.82
Ge  0.6510  0.1510  0.5000  6 Rh 2.67-2.82
Ge  0.8490  0.6510  0.5000  6 Rh 2.67-2.82
Rh  0.1322  0.6322  0.0000  6 Ge 2.67-2.82, 1 Rh 2.87
Rh  0.3678  0.1322  0.0000  6 Ge 2.67-2.82, 1 Rh 2.87
Rh  0.6322  0.8678  0.0000  6 Ge 2.67-2.82, 1 Rh 2.87
Rh  0.8678  0.3678  0.0000  6 Ge 2.67-2.82, 1 Rh 2.87

Properties
Its crystal system is tetragonal. The total energy is -62.18 eV/cell. Its total magnetic moment is 0.00 μB per cell.

Crystalline La4GeRh4 at its relaxed geometry. Source: Alexandria via LeMat-Bulk, functional PBE-GGA.

Cell lengths 8.5283, 8.5283, 6.1448 Å; angles 90.00, 90.00, 90.00 degrees
Closest atoms and distances in Å follow each position.
Fractional coordinates of all 18 atoms:
La  0.0218  0.7511  0.0710  5 Rh 2.89-3.20, 1 Ge 3.04
La  0.2489  0.5218  0.5710  5 Rh 2.89-3.20, 1 Ge 3.04
La  0.2511  0.9782  0.5710  5 Rh 2.89-3.20, 1 Ge 3.04
La  0.4782  0.7489  0.0710  5 Rh 2.89-3.20, 1 Ge 3.04
La  0.5218  0.2511  0.9290  5 Rh 2.89-3.20, 1 Ge 3.04
La  0.7489  0.0218  0.4290  5 Rh 2.89-3.20, 1 Ge 3.04
La  0.7511  0.4782  0.4290  5 Rh 2.89-3.20, 1 Ge 3.04
La  0.9782  0.2489  0.9290  5 Rh 2.89-3.20, 1 Ge 3.04
Ge  0.2500  0.2500  0.2500  4 Rh 2.46
Ge  0.7500  0.7500  0.7500  4 Rh 2.46
Rh  0.0042  0.2492  0.4607  1 Ge 2.46
Rh  0.2492  0.4958  0.0393  1 Ge 2.46
Rh  0.2508  0.0042  0.0393  1 Ge 2.46
Rh  0.4958  0.2508  0.4607  1 Ge 2.46
Rh  0.5042  0.7492  0.5393  1 Ge 2.46
Rh  0.7492  0.9958  0.9607  1 Ge 2.46
Rh  0.7508  0.5042  0.9607  1 Ge 2.46
Rh  0.9958  0.7508  0.5393  1 Ge 2.46

Properties
Its crystal system is tetragonal. The total energy is -119.17 eV/cell. Its total magnetic moment is 0.00 μB per cell.

Crystalline La2GeRh2 at its relaxed geometry. Source: Alexandria via LeMat-Bulk, functional PBE-GGA.

Cell lengths 7.4003, 7.4003, 4.0514 Å; angles 90.00, 90.00, 90.00 degrees
Closest atoms and distances in Å follow each position.
Fractional coordinates of all 10 atoms:
La  0.1777  0.3223  0.0000  6 Rh 2.81-3.10
La  0.3223  0.8223  0.0000  6 Rh 2.81-3.10
La  0.6777  0.1777  0.0000  6 Rh 2.81-3.10
La  0.8223  0.6777  0.0000  6 Rh 2.81-3.10
Ge  0.0000  0.0000  0.5000  4 Rh 2.88
Ge  0.5000  0.5000  0.5000  4 Rh 2.88
Rh  0.1358  0.6358  0.5000  6 La 2.81-3.10, 1 Rh 2.84, 2 Ge 2.88
Rh  0.3642  0.1358  0.5000  6 La 2.81-3.10, 1 Rh 2.84, 2 Ge 2.88
Rh  0.6358  0.8642  0.5000  6 La 2.81-3.10, 1 Rh 2.84, 2 Ge 2.88
Rh  0.8642  0.3642  0.5000  6 La 2.81-3.10, 1 Rh 2.84, 2 Ge 2.88

Properties
Its crystal system is tetragonal. The total energy is -65.77 eV/cell. Its total magnetic moment is 0.00 μB per cell.

Crystalline LaGeRh2S at its relaxed geometry. Source: Alexandria via LeMat-Bulk, functional PBE-GGA.

Cell lengths 4.7741, 4.7741, 6.0201 Å; angles 90.00, 90.00, 90.00 degrees
Closest atoms and distances in Å follow each position.
Fractional coordinates of all 5 atoms:
La  0.0000  0.0000  0.0000  4 Rh 2.39
Ge  0.0000  0.0000  0.5000  2 La 3.01
Rh  0.0000  0.5000  0.0000  2 La 2.39
Rh  0.5000  0.0000  0.0000  2 La 2.39
S  0.5000  0.5000  0.5000  4 Ge 3.38

Properties
Its crystal system is tetragonal. The total energy is -22.87 eV/cell. Its total magnetic moment is 0.00 μB per cell.

Crystalline La2GeSbRh6 at its relaxed geometry. Source: Alexandria via LeMat-Bulk, functional PBE-GGA.

Cell lengths 5.9211, 6.6410, 6.7266 Å; angles 60.61, 66.86, 65.65 degrees
Closest atoms and distances in Å follow each position.
Fractional coordinates of all 10 atoms:
La  0.1305  0.3171  0.2740  6 Rh 2.82-3.16
La  0.8695  0.6829  0.7260  6 Rh 2.82-3.16
Ge  0.5000  0.5000  0.5000  6 Rh 2.47-2.51
Sb  0.0000  0.0000  0.0000  6 Rh 2.58-2.67
Rh  0.3065  0.6941  0.7914  1 Ge 2.51, 1 Sb 2.67, 3 Rh 2.70-2.77
Rh  0.3884  0.1225  0.6450  1 Ge 2.48, 1 Sb 2.64, 4 Rh 2.67-2.74
Rh  0.4392  0.7887  0.1023  1 Ge 2.47, 1 Sb 2.58, 2 Rh 2.67-2.72
Rh  0.5608  0.2113  0.8977  1 Ge 2.47, 1 Sb 2.58, 2 Rh 2.67-2.72
Rh  0.6116  0.8775  0.3550  1 Ge 2.48, 1 Sb 2.64, 4 Rh 2.67-2.74
Rh  0.6935  0.3059  0.2086  1 Ge 2.51, 1 Sb 2.67, 3 Rh 2.70-2.77

Properties
Its crystal system is triclinic. The total energy is -68.18 eV/cell. Its total magnetic moment is 0.00 μB per cell.

Crystalline La2ScGe4Rh3 at its relaxed geometry. Source: Alexandria via LeMat-Bulk, functional PBE-GGA.

Cell lengths 4.2972, 4.2972, 10.8393 Å; angles 90.00, 90.00, 90.00 degrees
Closest atoms and distances in Å follow each position.
Fractional coordinates of all 10 atoms:
La  0.0000  0.5000  0.2343  8 Ge 3.28-3.33, 6 Rh 3.29-3.59, 2 Sc 3.59
La  0.5000  0.0000  0.7657  8 Ge 3.28-3.33, 6 Rh 3.29-3.59, 2 Sc 3.59
Sc  0.0000  0.0000  0.5000  4 Ge 2.71
Ge  0.0000  0.0000  0.0000  4 Rh 2.50
Ge  0.0000  0.5000  0.6523  3 Rh 2.50-2.71, 2 Sc 2.71
Ge  0.5000  0.0000  0.3477  3 Rh 2.50-2.71, 2 Sc 2.71
Ge  0.5000  0.5000  0.0000  4 Rh 2.50
Rh  0.0000  0.5000  0.8826  5 Ge 2.50
Rh  0.5000  0.0000  0.1174  5 Ge 2.50
Rh  0.5000  0.5000  0.5000  4 Ge 2.71

Properties
Its crystal system is tetragonal. The total energy is -65.35 eV/cell. Its total magnetic moment is 0.00 μB per cell.

Crystalline La2GeRhSe at its relaxed geometry. Source: Alexandria via LeMat-Bulk, functional PBE-GGA.

Cell lengths 5.6099, 5.6099, 4.5784 Å; angles 90.00, 90.00, 90.00 degrees
Closest atoms and distances in Å follow each position.
Fractional coordinates of all 5 atoms:
La  0.0000  0.5000  0.0000  2 Rh 2.80
La  0.5000  0.0000  0.0000  2 Rh 2.80
Ge  0.0000  0.0000  0.5000  2 Rh 2.29
Rh  0.0000  0.0000  0.0000  2 Ge 2.29
Se  0.5000  0.5000  0.5000  8 La 3.62, 4 Ge 3.97

Properties
Its crystal system is tetragonal. The total energy is -29.76 eV/cell. Its total magnetic moment is 0.00 μB per cell.